Rb2NaYI6 | GGA-PBE | relaxed

Output
E_form (uncorrected) = -1.394 eV per atom
Polymorph energy (0 for the lowest one) = 0.33 eV per formula unit
Calculated density = 3703 kg/m³
Space-group type = Fm-3m

Geometry as POSCAR:
```
Rb2NaYI6
1.0
8.716 0.000 0.000
4.358 7.549 0.000
4.358 2.516 7.117
Rb Na Y I
2 1 1 6
Direct
0.750 0.750 0.750
0.250 0.250 0.250
0.500 0.500 0.500
0.000 0.000 0.000
0.755 0.245 0.245
0.245 0.245 0.755
0.245 0.755 0.755
0.245 0.755 0.245
0.755 0.245 0.755
0.755 0.755 0.245
```